# 1
A relaxed structure of As2RhBrF, computed with PBE.

```
5
Lattice="4.272 0.000 0.000 0.000 4.272 0.000 0.000 0.000 5.229" Properties=species:S:1:pos:R:3 pbc="T T T"
As 0.000 2.136 0.000
As 2.136 0.000 0.000
Rh 2.136 2.136 2.614
Br 0.000 0.000 2.614
F 0.000 0.000 0.000
```

ΔE to the lowest computed polymorph: 0.348 eV/atom
SG: P4/mmm, No. 123
density of states at the Fermi level: 0.75 states/eV/atom
calculated total energy: -17.72 eV/cell
total magnetic moment: 0.000 μB per atom

***

# 2
A relaxed structure of AsRuBr2F, computed with PBE.

```
5
Lattice="-0.886 -5.117 -1.713 2.568 -1.927 4.427 -3.335 -0.061 1.908" Properties=species:S:1:pos:R:3 pbc="T T T"
Ru -0.826 -3.552 2.311
As -1.667 -0.031 0.954
Br 1.284 -0.963 2.213
Br -0.443 -2.559 -0.856
F 0.000 0.000 0.000
```

ΔE to the lowest computed polymorph: 0.442 eV/atom
SG: P4/mmm, No. 123
density of states at the Fermi level: 0.78 states/eV/atom
calculated total energy: -16.15 eV/cell
total magnetic moment: 0.569 μB per atom

***

# 3
A relaxed structure of AsRuBr2F, computed with PBE.

```
5
Lattice="-3.054 3.851 -1.229 -1.955 -2.755 -3.775 -3.264 -1.661 2.903" Properties=species:S:1:pos:R:3 pbc="T T T"
Ru 0.000 0.000 0.000
As -1.632 -0.831 1.452
Br -0.978 -1.378 -1.888
Br -1.527 1.926 -0.615
F -4.137 -0.283 -1.051
```

ΔE to the lowest computed polymorph: 0.000 eV/atom
SG: P4/mmm, No. 123
density of states at the Fermi level: 1.17 states/eV/atom
calculated total energy: -18.36 eV/cell
total magnetic moment: 0.096 μB per atom

***

# 4
A relaxed structure of SbAsBr2F, computed with PBE.

```
5
Lattice="-4.601 1.754 2.707 -1.534 -5.338 0.852 1.968 -0.029 3.364" Properties=species:S:1:pos:R:3 pbc="T T T"
Sb -2.083 -1.806 3.461
As 0.984 -0.014 1.682
Br -0.767 -2.669 0.426
Br -2.300 0.877 1.353
F 0.000 0.000 0.000
```

ΔE to the lowest computed polymorph: 0.000 eV/atom
SG: P4/mmm, No. 123
density of states at the Fermi level: 0.83 states/eV/atom
calculated total energy: -13.88 eV/cell
total magnetic moment: 0.000 μB per atom

***

# 5
A relaxed structure of Sb2AsBrF, computed with PBE.

```
5
Lattice="4.761 0.000 0.000 0.000 5.292 0.000 0.000 0.000 4.761" Properties=species:S:1:pos:R:3 pbc="T T T"
Sb 0.000 0.000 2.380
Sb 2.380 0.000 0.000
As 2.380 2.646 2.380
Br 0.000 2.646 0.000
F 0.000 0.000 0.000
```

ΔE to the lowest computed polymorph: 0.000 eV/atom
SG: P4/mmm, No. 123
density of states at the Fermi level: 1.09 states/eV/atom
calculated total energy: -15.73 eV/cell
total magnetic moment: 0.000 μB per atom

***

# 6
A relaxed structure of Sb2AsBrF, computed with PBE.

```
5
Lattice="-3.502 -3.435 -2.268 2.516 -4.056 2.256 -3.210 0.415 4.328" Properties=species:S:1:pos:R:3 pbc="T T T"
Sb -1.605 0.208 2.164
Sb -1.751 -1.717 -1.134
As 0.000 0.000 0.000
Br 1.258 -2.028 1.128
F -2.098 -3.538 2.158
```

ΔE to the lowest computed polymorph: 0.143 eV/atom
SG: P4/mmm, No. 123
density of states at the Fermi level: 0.82 states/eV/atom
calculated total energy: -15.01 eV/cell
total magnetic moment: 0.135 μB per atom

***

# 7
A relaxed structure of SbAsBr2F, computed with PBE.

```
5
Lattice="5.458 0.000 0.000 0.000 5.458 0.000 0.000 0.000 5.675" Properties=species:S:1:pos:R:3 pbc="T T T"
Sb 0.000 0.000 0.000
As 0.000 0.000 2.838
Br 0.000 2.729 0.000
Br 2.729 0.000 0.000
F 2.729 2.729 2.838
```

ΔE to the lowest computed polymorph: 0.099 eV/atom
SG: P4/mmm, No. 123
density of states at the Fermi level: 1.77 states/eV/atom
calculated total energy: -13.39 eV/cell
total magnetic moment: 0.264 μB per atom

***

# 8
A relaxed structure of ScAsBr2F, computed with PBE.

```
5
Lattice="-3.660 2.194 3.275 -3.830 -0.922 -3.662 -0.685 -3.543 1.608" Properties=species:S:1:pos:R:3 pbc="T T T"
Sc -4.087 -1.135 0.610
As -0.343 -1.771 0.804
Br -1.915 -0.461 -1.831
Br -1.830 1.097 1.637
F 0.000 0.000 0.000
```

ΔE to the lowest computed polymorph: 0.241 eV/atom
SG: P4/mmm, No. 123
density of states at the Fermi level: 0.91 states/eV/atom
calculated total energy: -18.27 eV/cell
total magnetic moment: 0.193 μB per atom

***

# 9
A relaxed structure of ScAsBr2F, computed with PBE.

```
5
Lattice="-2.050 4.681 -0.095 -3.002 -1.394 -3.894 -3.919 -1.643 3.610" Properties=species:S:1:pos:R:3 pbc="T T T"
Sc 0.000 0.000 0.000
As -1.960 -0.822 1.805
Br -1.501 -0.697 -1.947
Br -1.025 2.340 -0.047
F -4.486 0.822 -0.189
```

ΔE to the lowest computed polymorph: 0.000 eV/atom
SG: P4/mmm, No. 123
density of states at the Fermi level: 0.70 states/eV/atom
calculated total energy: -19.47 eV/cell
total magnetic moment: 0.225 μB per atom

***

# 10
A relaxed structure of ScAs2BrF, computed with PBE.

```
5
Lattice="5.167 0.000 0.000 0.000 5.167 0.000 0.000 0.000 5.110" Properties=species:S:1:pos:R:3 pbc="T T T"
Sc 0.000 0.000 0.000
As 0.000 2.584 0.000
As 2.584 0.000 0.000
Br 0.000 0.000 2.555
F 2.584 2.584 2.555
```

ΔE to the lowest computed polymorph: 0.213 eV/atom
SG: P4/mmm, No. 123
density of states at the Fermi level: 0.84 states/eV/atom
calculated total energy: -20.13 eV/cell
total magnetic moment: 0.000 μB per atom

***

# 11
A relaxed structure of ScAs2BrF, computed with PBE.

```
5
Lattice="-1.517 -3.120 2.542 -0.133 -2.676 -3.364 5.120 -1.610 1.079" Properties=species:S:1:pos:R:3 pbc="T T T"
Sc 1.735 -3.703 0.128
As -0.066 -1.338 -1.682
As -0.758 -1.560 1.271
Br 2.560 -0.805 0.539
F 0.000 0.000 0.000
```

ΔE to the lowest computed polymorph: 0.000 eV/atom
SG: P4/mmm, No. 123
density of states at the Fermi level: 0.23 states/eV/atom
calculated total energy: -21.20 eV/cell
total magnetic moment: 0.000 μB per atom

***

# 12
A relaxed structure of As2SeBrF, computed with PBE.

```
5
Lattice="4.303 0.000 0.000 0.000 4.303 0.000 0.000 0.000 6.201" Properties=species:S:1:pos:R:3 pbc="T T T"
As 0.000 2.152 0.000
As 2.152 0.000 0.000
Se 0.000 0.000 3.101
Br 2.152 2.152 3.101
F 0.000 0.000 0.000
```

ΔE to the lowest computed polymorph: 0.045 eV/atom
SG: P4/mmm, No. 123
density of states at the Fermi level: 1.00 states/eV/atom
calculated total energy: -13.86 eV/cell
total magnetic moment: 0.000 μB per atom